No. 1
Computed, not measured: crystalline Zn17Cu12 at its relaxed geometry at the GGA-PBE level of DFT.

abc: 9.243 9.243 9.243
angles: 90.00 90.00 90.00
Space group I-43m (No. 217)
Asymmetric unit:
1 Zn 0.000 0.000 0.000 x2
2 Zn 0.052 0.362 0.638 x24
3 Zn 0.169 0.169 0.169 x8
4 Cu 0.094 0.094 0.717 x24

Summary:
- VASP energy (eV for the cell shown) = -142.61
- ΔH_f (0 K) (eV/f.u.) = -0.5

No. 2
Computed, not measured: crystalline Zn2Cu17 at its relaxed geometry at the GGA-PBE level of DFT.

abc: 8.2581 8.2581 12.6436
angles: 90.00 90.00 120.00
Space group R-3m (No. 166, hexagonal axes)
Asymmetric unit:
1 Zn 0.0000 0.0000 0.1345 x6
2 Cu 0.0000 0.0000 0.4036 x6
3 Cu 0.0000 0.3188 0.5000 x18
4 Cu 0.0000 0.5000 0.0000 x9
5 Cu 0.0034 0.5017 0.6598 x18

Summary:
- VASP energy (eV for the cell shown) = -209.95
- ΔH_f (0 K) (eV/f.u.) = 2.2

No. 3
Computed, not measured: crystalline Zn2Cu at its relaxed geometry at the GGA-PBE level of DFT.

abc: 3.804 11.258 3.797
angles: 90.00 90.00 90.00
Space group Cmmm (No. 65)
Asymmetric unit:
1 Zn 0.000 0.000 0.000 x2
2 Zn 0.000 0.170 0.500 x4
3 Zn 0.000 0.500 0.500 x2
4 Cu 0.000 0.334 0.000 x4

Summary:
- VASP energy (eV for the cell shown) = -27.18
- ΔH_f (0 K) (eV/f.u.) = -0.2

No. 4
Computed, not measured: crystalline Zn4Cu at its relaxed geometry at the GGA-PBE level of DFT.

abc: 4.630 4.630 4.630
angles: 90.00 90.00 90.00
Space group Pm-3m (No. 221)
Asymmetric unit:
1 Zn 0.000 0.000 0.000 x1
2 Zn 0.000 0.500 0.500 x3
3 Cu 0.500 0.500 0.500 x1

Summary:
- excess energy over the best structure of this formula in the dataset (meV per atom) = 371.5
- VASP energy (eV for the cell shown) = -7.45
- ΔH_f (0 K) (eV/f.u.) = 1.7

- The highest ΔH_f (0 K) belongs to which entry?
  Zn2Cu17